# Ti2VAuC | Alexandria | PBE-GGA | optimized geometry
data_Ti2VAuC
_chemical_formula_sum 'Ti2 V1 Au1 C1'
_cell_length_a 4.206
_cell_length_b 4.206
_cell_length_c 3.992
_cell_angle_alpha 90.00
_cell_angle_beta 90.00
_cell_angle_gamma 90.00
_symmetry_space_group_name_H-M 'P 1'
_symmetry_Int_Tables_number 1
_symmetry_space_group_name_Hall 'P 1'
loop_
_atom_site_label
_atom_site_type_symbol
_atom_site_fract_x
_atom_site_fract_y
_atom_site_fract_z
_atom_site_occupancy
C1 C 0.000 0.000 0.000 1
Ti1 Ti 0.000 0.500 0.000 1
Ti2 Ti 0.500 0.000 0.000 1
Au1 Au 0.500 0.500 0.500 1
V1 V 0.000 0.000 0.500 1
# Calculated volume ... 14.12 A^3/atom
# Total DFT energy (no corrections) ... -7.987 eV per atom
# Relative energy among the computed polymorphs ... 0 meV per atom
# Energy of formation ... -505 meV/atom
# Magnetic moment ... 1.0 μB per formula unit
# Space group ... P4/mmm (123)